[1]
A relaxed Ca2LaAg crystal, computed with PBE.

Results
formation energy = -0.1078 eV/atom
VASP energy = -3.053 eV per atom
size of the total moment = 0.073 μB per atom
energy relative to the lowest polymorph listed for this composition = 0.003 eV per atom
mass density = 4.01 Mg/m³

Lattice parameters (Å, degrees): 3.9512 13.0581 10.4980 90.00 90.00 90.00
Space group Cmcm (No. 63)
Inequivalent atoms, fractional coordinates:
Ca1 0.0000 0.1373 0.0603 (multiplicity 8)
La1 0.0000 0.4334 0.2500 (multiplicity 4)
Ag1 0.0000 0.2536 0.7500 (multiplicity 4)

---

[2]
A relaxed CaLa2Ag6 crystal, computed with PBE.

Results
formation energy = -0.2757 eV/atom
VASP energy = -3.494 eV per atom
size of the total moment = 0.000 μB per atom
mass density = 7.20 Mg/m³

Lattice parameters (Å, degrees): 8.3628 8.3628 3.6764 90.00 90.00 120.00
Space group P6/mmm (No. 191)
Inequivalent atoms, fractional coordinates:
Ca1 0.0000 0.0000 0.0000 (multiplicity 1)
La1 0.3333 0.6667 0.0000 (multiplicity 2)
Ag1 0.0000 0.3318 0.5000 (multiplicity 6)

---

[3]
A relaxed Ca2LaAg crystal, computed with PBE.

Results
formation energy = -0.0328 eV/atom
VASP energy = -2.978 eV per atom
size of the total moment = 0.000 μB per atom
energy relative to the lowest polymorph listed for this composition = 0.078 eV per atom
mass density = 3.97 Mg/m³

Lattice parameters (Å, degrees): 3.8327 3.8327 32.2422 90.00 90.00 120.00
Space group R3m (No. 160, hexagonal axes)
Inequivalent atoms, fractional coordinates:
Ca1 0.0000 0.0000 0.0000 (multiplicity 3)
Ca2 0.0000 0.0000 0.1986 (multiplicity 3)
La1 0.0000 0.0000 0.4332 (multiplicity 3)
Ag1 0.0000 0.0000 0.5992 (multiplicity 3)

---

What did the first record say?
A relaxed Ca2LaAg crystal, computed with PBE.

Results
formation energy = -0.1078 eV/atom
VASP energy = -3.053 eV per atom
size of the total moment = 0.073 μB per atom
energy relative to the lowest polymorph listed for this composition = 0.003 eV per atom
mass density = 4.01 Mg/m³

Lattice parameters (Å, degrees): 3.9512 13.0581 10.4980 90.00 90.00 90.00
Space group Cmcm (No. 63)
Inequivalent atoms, fractional coordinates:
Ca1 0.0000 0.1373 0.0603 (multiplicity 8)
La1 0.0000 0.4334 0.2500 (multiplicity 4)
Ag1 0.0000 0.2536 0.7500 (multiplicity 4)

---

Q: Which formula does entry 2 have?
A: CaLa2Ag6

---

Please write out number 3 again, unchanged.
A relaxed Ca2LaAg crystal, computed with PBE.

Results
formation energy = -0.0328 eV/atom
VASP energy = -2.978 eV per atom
size of the total moment = 0.000 μB per atom
energy relative to the lowest polymorph listed for this composition = 0.078 eV per atom
mass density = 3.97 Mg/m³

Lattice parameters (Å, degrees): 3.8327 3.8327 32.2422 90.00 90.00 120.00
Space group R3m (No. 160, hexagonal axes)
Inequivalent atoms, fractional coordinates:
Ca1 0.0000 0.0000 0.0000 (multiplicity 3)
Ca2 0.0000 0.0000 0.1986 (multiplicity 3)
La1 0.0000 0.0000 0.4332 (multiplicity 3)
Ag1 0.0000 0.0000 0.5992 (multiplicity 3)

---

Q: Which value of VASP energy does entry 2 give?
A: -3.494 eV per atom